*A*
Crystalline Sm7Cd2Os2 at its relaxed geometry, computed with PBE.

Total magnetization   0.0 μB/f.u.
Symmetry   No. 65
Volume   30.295 A^3/atom

Lattice parameters (Å, degrees): 6.907 6.907 7.298 90.00 90.00 106.82
Element x y z (fractional)
Sm: 0.000 0.000 0.000
Sm: 0.000 0.500 0.249
Sm: 0.000 0.500 0.751
Sm: 0.500 0.000 0.249
Sm: 0.500 0.000 0.751
Sm: 0.500 0.500 0.239
Sm: 0.500 0.500 0.761
Cd: 0.173 0.173 0.500
Cd: 0.827 0.827 0.500
Os: 0.292 0.708 0.000
Os: 0.708 0.292 0.000

*B*
Crystalline Sm7Cd2Os2 at its relaxed geometry, computed with PBE.

Total magnetization   0.0 μB/f.u.
Symmetry   No. 44
Volume   28.751 A^3/atom

Lattice parameters (Å, degrees): 9.868 9.868 9.868 157.10 63.53 121.63
Element x y z (fractional)
Sm: 0.000 0.000 0.000
Sm: 0.062 0.379 0.683
Sm: 0.085 0.737 0.348
Sm: 0.389 0.737 0.652
Sm: 0.440 0.575 0.865
Sm: 0.696 0.379 0.317
Sm: 0.710 0.575 0.135
Cd: 0.333 0.333 0.000
Cd: 0.729 0.229 0.500
Os: 0.321 0.079 0.243
Os: 0.836 0.079 0.757

It is *A* that is the least stable of them.

*A*
Crystalline TbSmCdOs at its relaxed geometry, computed with PBE.

Total magnetization   0.0 μB/f.u.
Symmetry   No. 99
Volume   24.020 A^3/atom

Lattice parameters (Å, degrees): 3.482 3.482 7.924 90.00 90.00 90.00
Element x y z (fractional)
Tb: 0.000 0.000 0.000
Sm: 0.000 0.000 0.426
Cd: 0.500 0.500 0.720
Os: 0.500 0.500 0.208

*B*
Crystalline TbSmCdOs at its relaxed geometry, computed with PBE.

Total magnetization   0.0 μB/f.u.
Symmetry   No. 216
Volume   23.144 A^3/atom

Lattice parameters (Å, degrees): 5.078 5.078 5.078 60.00 60.00 60.00
Element x y z (fractional)
Tb: 0.000 0.000 0.000
Sm: 0.500 0.500 0.500
Cd: 0.750 0.750 0.750
Os: 0.250 0.250 0.250

It is *B* that is the least stable of them.